## Ta6Mo5W (GGA-PBE)

Data for Ta6Mo5W after structural relaxation.

Computed properties:
symmetry	C2/m (12)

POSCAR file:
```
Ta6Mo5W
1.0
3.962 -6.844 0.000
3.962 6.844 0.000
-2.634 0.000 3.739
Ta Mo W
6 5 1
Direct
0.082 0.417 0.749
0.249 0.249 0.249
0.417 0.082 0.749
0.583 0.918 0.251
0.751 0.751 0.751
0.918 0.583 0.251
0.000 0.000 0.500
0.167 0.833 0.000
0.334 0.666 0.500
0.666 0.334 0.500
0.833 0.167 0.000
0.500 0.500 0.000
```

---

## Ta5Mo2W5 (GGA-PBE)

Data for Ta5Mo2W5 after structural relaxation.

Computed properties:
symmetry	C2/m (12)

POSCAR file:
```
Ta5Mo2W5
1.0
4.846 -2.276 0.000
4.846 2.276 0.000
-3.159 0.000 9.145
Ta Mo W
5 2 5
Direct
0.000 0.000 0.000
0.163 0.163 0.502
0.254 0.254 0.250
0.746 0.746 0.750
0.837 0.837 0.498
0.082 0.082 0.753
0.918 0.918 0.247
0.331 0.331 0.996
0.420 0.420 0.752
0.500 0.500 0.500
0.580 0.580 0.248
0.669 0.669 0.004
```

---

## Ta2Mo4W (GGA-PBE)

Data for Ta2Mo4W after structural relaxation.

Computed properties:
symmetry	P-1 (2)
energy relative to the lowest polymorph listed for this composition	0	meV/atom

POSCAR file:
```
Ta2Mo4W
1.0
2.728 0.000 0.000
-0.979 7.001 0.000
-0.746 -3.483 6.137
Ta Mo W
2 4 1
Direct
0.244 0.353 0.282
0.756 0.647 0.718
0.054 0.790 0.433
0.394 0.931 0.148
0.606 0.069 0.852
0.946 0.210 0.567
0.000 0.500 0.000
```

---

## Ta2Mo4W (GGA-PBE)

Data for Ta2Mo4W after structural relaxation.

Computed properties:
symmetry	P2/m (10)
energy relative to the lowest polymorph listed for this composition	283	meV/atom

POSCAR file:
```
Ta2Mo4W
1.0
4.556 0.000 0.000
0.000 3.119 0.000
-1.263 0.000 8.583
Ta Mo W
2 4 1
Direct
0.205 0.000 0.355
0.795 0.000 0.645
0.285 0.500 0.627
0.386 0.000 0.866
0.614 0.000 0.134
0.715 0.500 0.373
0.000 0.500 0.000
```

---

Respective ΔE_f values: -186, -122, 115, 398 meV per atom.
Respective magnetization values: 0.00, 0.00, 0.00, 0.00 Bohr magnetons per cell.